Record 1
Material: CaCd2Ga
Method: DFT, GGA-PBE
State: optimized geometry

a = 4.4102 Å, b = 4.4102 Å, c = 21.5179 Å
α = 90.00°, β = 90.00°, γ = 90.00°
Space group I-42d (No. 122)
One atom of each set of equivalent atoms:
Ca (0.0000, 0.0000, 0.0000) (multiplicity 4)
Cd (0.2272, 0.2500, 0.6250) (multiplicity 8)
Ga (0.0000, 0.0000, 0.5000) (multiplicity 4)

Results
Final energy in eV per atom: -1.783


Record 2
Material: CaCdGa2
Method: DFT, GGA-PBE
State: optimized geometry

a = 4.6281 Å, b = 4.6281 Å, c = 4.1507 Å
α = 90.00°, β = 90.00°, γ = 90.00°
Space group P4/mmm (No. 123)
One atom of each set of equivalent atoms:
Ca (0.0000, 0.0000, 0.0000) (multiplicity 1)
Cd (0.5000, 0.5000, 0.0000) (multiplicity 1)
Ga (0.0000, 0.5000, 0.5000) (multiplicity 2)

Results
Final energy in eV per atom: -2.509


Record 3
Material: Ca2Cd3Ga
Method: DFT, GGA-PBE
State: optimized geometry

a = 3.8190 Å, b = 4.8900 Å, c = 17.3250 Å
α = 90.00°, β = 90.00°, γ = 90.00°
Space group Imm2 (No. 44)
One atom of each set of equivalent atoms:
Ca (0.0000, 0.0000, 0.0000) (multiplicity 2)
Ca (0.0000, 0.5000, 0.2681) (multiplicity 2)
Cd (0.0000, 0.0000, 0.5981) (multiplicity 2)
Cd (0.0000, 0.5000, 0.6772) (multiplicity 2)
Cd (0.0000, 0.5000, 0.8403) (multiplicity 2)
Ga (0.0000, 0.0000, 0.4451) (multiplicity 2)

Results
Final energy in eV per atom: -1.909
Offset from the most stable computed form in eV per atom: 0.085


Which formula does entry 3 have? Ca2Cd3Ga